1.
Density functional theory data (PBE) for an optimized crystal structure of NbB2Ru.

Output
- ΔE_f: 0.50 eV per atom
- Relative energy among the computed polymorphs: 0.981 eV/atom
- Calculated total energy: -7.675 eV per atom
- M_tot: 0.0000 μB/atom
- Space group: I-42d (122)

Cell lengths 4.496, 4.496, 6.397 Å; angles 69.43, 69.43, 90.00 degrees
Element x y z (fractional)
Ru: 0.000 0.000 0.000
Ru: 0.750 0.250 0.500
Nb: 0.500 0.500 0.000
Nb: 0.250 0.750 0.500
B: 0.682 0.125 0.250
B: 0.068 0.625 0.250
B: 0.375 0.318 0.750
B: 0.875 0.932 0.750

=====

2.
Density functional theory data (PBE) for an optimized crystal structure of Li5Zn2Ag12.

Output
- ΔE_f: -0.08 eV per atom
- Relative energy among the computed polymorphs: 0.022 eV/atom
- Calculated total energy: -2.521 eV per atom
- M_tot: 0.0000 μB/atom
- Space group: C2/m (12)

Cell lengths 5.677, 9.274, 6.930 Å; angles 72.03, 90.00, 107.82 degrees
Element x y z (fractional)
Li: 0.243 0.486 0.526
Li: 0.346 0.691 0.091
Li: 0.000 0.000 0.500
Li: 0.654 0.309 0.909
Li: 0.757 0.514 0.474
Zn: 0.746 0.000 0.000
Zn: 0.254 0.000 0.000
Ag: 0.138 0.276 0.941
Ag: 0.046 0.595 0.790
Ag: 0.549 0.595 0.790
Ag: 0.150 0.790 0.383
Ag: 0.640 0.790 0.383
Ag: 0.449 0.899 0.708
Ag: 0.551 0.101 0.292
Ag: 0.850 0.210 0.617
Ag: 0.360 0.210 0.617
Ag: 0.954 0.405 0.210
Ag: 0.451 0.405 0.210
Ag: 0.862 0.724 0.059

=====

3.
Density functional theory data (PBE) for an optimized crystal structure of Sr2TbBi3.

Output
- ΔE_f: -0.71 eV per atom
- Calculated total energy: -3.981 eV per atom
- M_tot: 0.0000 μB/atom
- Space group: Immm (71)

Cell lengths 3.914, 6.743, 9.065 Å; angles 111.83, 102.47, 90.00 degrees
Element x y z (fractional)
Sr: 0.670 0.170 0.340
Sr: 0.330 0.830 0.660
Tb: 0.000 0.500 0.000
Bi: 0.344 0.344 0.687
Bi: 0.000 0.000 0.000
Bi: 0.656 0.656 0.313

=====

4.
Density functional theory data (PBE) for an optimized crystal structure of Pu3Au.

Output
- ΔE_f: -0.08 eV per atom
- Relative energy among the computed polymorphs: 0.000 eV/atom
- Calculated total energy: -11.653 eV per atom
- M_tot: 1.3212 μB/atom
- Space group: P1 (1)

Cell lengths 6.377, 6.062, 5.170 Å; angles 82.73, 91.73, 116.73 degrees
Each line ends with the local moment (μB).
Element x y z (fractional)
Au: 0.287 0.626 0.753  0.01
Au: 0.713 0.373 0.255  0.01
Pu: 0.152 0.278 0.301  4.77
Pu: 0.569 0.803 0.249  5.00
Pu: 0.165 0.896 0.178  -4.34
Pu: 0.858 0.728 0.700  -4.74
Pu: 0.413 0.181 0.767  4.80
Pu: 0.844 0.115 0.797  4.77